The following is a PBE-GGA calculation of GdDyBe2Si2 after structural relaxation, from OQMD via LeMat-Bulk.

Values from the calculation:
Crystal system ... trigonal
Space group ... P-3m1
Volume ... 106 Å³/f.u.
Final energy ... -0.38588 Ry per atom

```
data_GdDyBe2Si2
_chemical_formula_sum 'Gd1 Dy1 Be2 Si2'
_symmetry_space_group_name_H-M 'P 1'
_symmetry_Int_Tables_number 1
_cell_length_a 3.882
_cell_length_b 3.882
_cell_length_c 8.110
_cell_angle_alpha 90.00
_cell_angle_beta 90.00
_cell_angle_gamma 120.00
loop_
_symmetry_equiv_pos_as_xyz
'x,y,z'
loop_
_atom_site_label
_atom_site_fract_x
_atom_site_fract_y
_atom_site_fract_z
Gd1 0.000 0.000 0.000
Dy1 0.000 0.000 0.500
Be1 0.333 0.667 0.252
Be2 0.667 0.333 0.748
Si1 0.333 0.667 0.748
Si2 0.667 0.333 0.252
```